The following is a DFT calculation (GGA-PBE) of a relaxed Ba2Sn3Sb crystal.

formation energy from raw total energies = -566 meV/atom
final energy = -3.90 eV/atom
spin magnetization = 0.0 μB/cell
symmetry = Fmmm

Cell: 7.0385 7.0385 10.3763 Å, 110.97 110.97 86.84°
Element x y z (fractional)
Sb 0.6684 0.6684 0.3368
Sn 0.1651 0.1651 0.8356
Sn 0.1651 0.1651 0.3303
Sb 0.3316 0.3316 0.6632
Sn 0.8349 0.8349 0.1644
Ba 0.7500 0.2500 0.5000
Sn 0.3295 0.3295 0.1644
Ba 0.2561 0.7439 0.0000
Sn 0.8349 0.8349 0.6697
Sn 0.6705 0.6705 0.8356
Ba 0.2500 0.7500 0.5000
Ba 0.7439 0.2561 0.0000


The following is a DFT calculation (GGA-PBE) of a relaxed ScAlPtRh crystal.

DFT formation energy = -4.38 eV/f.u.
final energy = -6.96 eV/atom
spin magnetization = 0.0 μB/cell
symmetry = F-43m

Cell: 4.4608 4.4608 4.4608 Å, 60.00 60.00 60.00°
Element x y z (fractional)
Pt 0.5000 0.5000 0.5000
Rh 0.0000 0.0000 0.0000
Al 0.7500 0.7500 0.7500
Sc 0.2500 0.2500 0.2500


The following is a DFT calculation (GGA-PBE) of a relaxed TcSbOs crystal.

formation energy from raw total energies = 351 meV/atom
final energy = -8.22 eV/atom
energy above the most stable polymorph in this dataset = 4.09 kJ/mol of atoms
spin magnetization = 0.0 μB/cell
symmetry = I4mm

Cell: 6.0831 6.0831 6.0831 Å, 151.60 151.60 40.60°
Element x y z (fractional)
Os 0.0152 0.0152 0.0000
Sb 0.3324 0.3324 0.0000
Tc 0.6525 0.6525 0.0000


The following is a DFT calculation (GGA-PBE) of a relaxed Pr3CuRh2 crystal.

DFT formation energy = -3.10 eV/f.u.
final energy = -6.04 eV/atom
spin magnetization = 0.0 μB/cell
symmetry = Pnma

Cell: 4.1621 11.8135 11.8430 Å, 90.00 90.00 90.00°
Element x y z (fractional)
Pr 0.7500 0.8755 0.4425
Pr 0.7500 0.9372 0.1219
Pr 0.2500 0.1245 0.5575
Rh 0.2500 0.4883 0.8197
Pr 0.7500 0.3121 0.7968
Pr 0.2500 0.8121 0.7032
Rh 0.7500 0.1875 0.0160
Pr 0.7500 0.1879 0.2968
Pr 0.2500 0.3755 0.0575
Rh 0.2500 0.6875 0.4840
Pr 0.2500 0.4372 0.3781
Cu 0.2500 0.1246 0.1274
Cu 0.2500 0.3754 0.6274
Pr 0.2500 0.0628 0.8781
Pr 0.2500 0.6879 0.2032
Pr 0.7500 0.6245 0.9425
Cu 0.7500 0.6246 0.3726
Rh 0.2500 0.8125 0.9840
Rh 0.7500 0.3125 0.5160
Rh 0.7500 0.9883 0.6803
Cu 0.7500 0.8754 0.8726
Pr 0.7500 0.5628 0.6219
Rh 0.7500 0.5117 0.1803
Rh 0.2500 0.0117 0.3197


The following is a DFT calculation (GGA-PBE) of a relaxed Er6HN5 crystal.

final energy = -7.60 eV/atom
spin magnetization = 0.0 μB/cell
symmetry = C2/m

Cell: 5.9408 5.9408 5.9464 Å, 99.67 99.67 119.92°
Element x y z (fractional)
N 0.5000 0.5000 0.5000
H 0.0000 0.0000 0.0000
Er 0.7367 0.7367 0.2643
Er 0.9144 0.5633 0.7445
N 0.3331 0.6669 0.0000
N 0.1676 0.8324 0.5000
Er 0.4367 0.0856 0.2555
N 0.8324 0.1676 0.5000
Er 0.2633 0.2633 0.7357
Er 0.5633 0.9144 0.7445
Er 0.0856 0.4367 0.2555
N 0.6669 0.3331 0.0000


The following is a DFT calculation (GGA-PBE) of a relaxed Dy3Y2Cd2 crystal.

DFT formation energy = -1.16 eV/f.u.
final energy = -4.25 eV/atom
energy above the most stable polymorph in this dataset = 0.00 kJ/mol of atoms
spin magnetization = 0.0 μB/cell
symmetry = R-3m

Cell: 5.3761 5.3806 8.5466 Å, 108.32 90.00 119.97°
Element x y z (fractional)
Dy 0.3435 0.6870 0.5302
Y 0.9251 0.8503 0.2754
Cd 0.2117 0.4235 0.1356
Cd 0.7883 0.5765 0.8644
Y 0.0749 0.1497 0.7246
Dy 0.6565 0.3130 0.4698
Dy 0.5000 0.0000 0.0000